(1)
Below is YTh3Ni8 after structural relaxation, with properties calculated at the PBE-GGA level.

Structure (CIF):
```
data_YTh3Ni8
_symmetry_space_group_name_H-M 'R 3 m'
_symmetry_Int_Tables_number 160
_symmetry_space_group_name_Hall 'R 3 -2"'
_cell_length_a 5.1629
_cell_length_b 5.1629
_cell_length_c 25.2612
_cell_angle_alpha 90.00
_cell_angle_beta 90.00
_cell_angle_gamma 120.00
loop_
_atom_site_label
_atom_site_type_symbol
_atom_site_fract_x
_atom_site_fract_y
_atom_site_fract_z
Y1 Y 0.0000 0.0000 0.0000
Th1 Th 0.0000 0.0000 0.1242
Th2 Th 0.0000 0.0000 0.4995
Th3 Th 0.0000 0.0000 0.6264
Ni1 Ni 0.0000 0.0000 0.3126
Ni2 Ni 0.0000 0.0000 0.8128
Ni3 Ni 0.9999 0.4999 0.0616
Ni4 Ni 0.0014 0.5007 0.5633
```

***

(2)
Below is YThNi10 after structural relaxation, with properties calculated at the PBE-GGA level.

Structure (CIF):
```
data_YThNi10
_symmetry_space_group_name_H-M 'P m m m'
_symmetry_Int_Tables_number 47
_cell_length_a 3.979
_cell_length_b 4.921
_cell_length_c 8.505
_cell_angle_alpha 90.00
_cell_angle_beta 90.00
_cell_angle_gamma 90.00
loop_
_symmetry_equiv_pos_as_xyz
'x,y,z'
'-x,-y,-z'
'-x,-y,z'
'x,y,-z'
'x,-y,-z'
'-x,y,z'
'-x,y,-z'
'x,-y,z'
loop_
_atom_site_label
_atom_site_type_symbol
_atom_site_fract_x
_atom_site_fract_y
_atom_site_fract_z
Y1 Y 0.000 0.000 0.000
Th1 Th 0.000 0.500 0.500
Ni1 Ni 0.000 0.000 0.333
Ni2 Ni 0.000 0.500 0.166
Ni3 Ni 0.500 0.000 0.500
Ni4 Ni 0.500 0.250 0.249
Ni5 Ni 0.500 0.500 0.000
```

***

(3)
Below is YThNi2 after structural relaxation, with properties calculated at the PBE-GGA level.

Structure (CIF):
```
data_YThNi2
_symmetry_space_group_name_H-M 'R -3 m'
_symmetry_Int_Tables_number 166
_symmetry_space_group_name_Hall '-R 3 2"'
_cell_length_a 4.7857
_cell_length_b 4.7857
_cell_length_c 12.5750
_cell_angle_alpha 90.00
_cell_angle_beta 90.00
_cell_angle_gamma 120.00
loop_
_atom_site_label
_atom_site_type_symbol
_atom_site_fract_x
_atom_site_fract_y
_atom_site_fract_z
Y1 Y 0.0000 0.0000 0.0000
Th1 Th 0.0000 0.0000 0.5000
Ni1 Ni 0.0000 0.0000 0.2743
```

***

(4)
Below is YThNi2 after structural relaxation, with properties calculated at the PBE-GGA level.

Structure (CIF):
```
data_YThNi2
_symmetry_space_group_name_H-M 'R 3 m'
_symmetry_Int_Tables_number 160
_symmetry_space_group_name_Hall 'R 3 -2"'
_cell_length_a 3.8842
_cell_length_b 3.8842
_cell_length_c 20.5943
_cell_angle_alpha 90.00
_cell_angle_beta 90.00
_cell_angle_gamma 120.00
loop_
_atom_site_label
_atom_site_type_symbol
_atom_site_fract_x
_atom_site_fract_y
_atom_site_fract_z
Y1 Y 0.0000 0.0000 0.0000
Th1 Th 0.0000 0.0000 0.8275
Ni1 Ni 0.0000 0.0000 0.2454
Ni2 Ni 0.0000 0.0000 0.4142
```

***

(5)
Below is Y2ThNi6 after structural relaxation, with properties calculated at the PBE-GGA level.

Structure (CIF):
```
data_Y2ThNi6
_symmetry_space_group_name_H-M 'P 6/m m m'
_symmetry_Int_Tables_number 191
_symmetry_space_group_name_Hall '-P 6 2'
_cell_length_a 7.0316
_cell_length_b 7.0316
_cell_length_c 3.7160
_cell_angle_alpha 90.00
_cell_angle_beta 90.00
_cell_angle_gamma 120.00
loop_
_atom_site_label
_atom_site_type_symbol
_atom_site_fract_x
_atom_site_fract_y
_atom_site_fract_z
Y1 Y 0.3333 0.6667 0.0000
Th1 Th 0.0000 0.0000 0.0000
Ni1 Ni 0.0000 0.3334 0.5000
```

***

(6)
Below is YThNi2 after structural relaxation, with properties calculated at the PBE-GGA level.

Structure (CIF):
```
data_YThNi2
_symmetry_space_group_name_H-M 'P 1 m 1'
_symmetry_Int_Tables_number 6
_cell_length_a 3.679
_cell_length_b 4.345
_cell_length_c 5.551
_cell_angle_alpha 90.00
_cell_angle_beta 109.11
_cell_angle_gamma 90.00
loop_
_symmetry_equiv_pos_as_xyz
'x,y,z'
'x,-y,z'
loop_
_atom_site_label
_atom_site_type_symbol
_atom_site_fract_x
_atom_site_fract_y
_atom_site_fract_z
Y1 Y 0.000 0.000 0.000
Th1 Th 0.271 0.500 0.545
Ni1 Ni 0.561 0.500 0.124
Ni2 Ni 0.719 0.000 0.440
```

***

(7)
Below is Y2ThNi after structural relaxation, with properties calculated at the PBE-GGA level.

Structure (CIF):
```
data_Y2ThNi
_symmetry_space_group_name_H-M 'R -3 m'
_symmetry_Int_Tables_number 166
_symmetry_space_group_name_Hall '-R 3 2"'
_cell_length_a 3.5130
_cell_length_b 3.5130
_cell_length_c 31.6781
_cell_angle_alpha 90.00
_cell_angle_beta 90.00
_cell_angle_gamma 120.00
loop_
_atom_site_label
_atom_site_type_symbol
_atom_site_fract_x
_atom_site_fract_y
_atom_site_fract_z
Y1 Y 0.0000 0.0000 0.1096
Th1 Th 0.0000 0.0000 0.0000
Ni1 Ni 0.0000 0.0000 0.5000
```

***

(8)
Below is Y3ThNi8 after structural relaxation, with properties calculated at the PBE-GGA level.

Structure (CIF):
```
data_Y3ThNi8
_symmetry_space_group_name_H-M 'R 3 m'
_symmetry_Int_Tables_number 160
_symmetry_space_group_name_Hall 'R 3 -2"'
_cell_length_a 5.1128
_cell_length_b 5.1128
_cell_length_c 25.0502
_cell_angle_alpha 90.00
_cell_angle_beta 90.00
_cell_angle_gamma 120.00
loop_
_atom_site_label
_atom_site_type_symbol
_atom_site_fract_x
_atom_site_fract_y
_atom_site_fract_z
Y1 Y 0.0000 0.0000 0.0000
Y2 Y 0.0000 0.0000 0.1234
Y3 Y 0.0000 0.0000 0.6295
Th1 Th 0.0000 0.0000 0.5027
Ni1 Ni 0.0000 0.0000 0.3142
Ni2 Ni 0.0000 0.0000 0.8139
Ni3 Ni 0.0005 0.5002 0.0640
Ni4 Ni 0.1675 0.3350 0.8974
```

***

Respective formation enthalpy at 0 K values: -362, -362, -329, -264, -398, -444, 118, -407 meV per atom.
Respective electronic total energy values: -6.610, -6.337, -6.691, -6.626, -6.513, -6.806, -6.414, -6.496 eV/atom.
Respective total moment values: 0.00, 2.38, 0.00, 0.00, 0.00, 0.00, 0.00, 0.00 Bohr magnetons per cell.